Here is a relaxed NbReHOs2 crystal from Alexandria. Energies are from PBE.

extended XYZ file:
```
5
Lattice="-0.363 -3.910 -0.507 -0.158 -0.494 3.925 -4.025 0.388 -0.113" Properties=species:S:1:pos:R:3 pbc="T T T"
Re -2.273 -2.008 1.652
Nb -2.012 0.194 -0.057
Os -0.079 -0.247 1.963
Os -0.181 -1.955 -0.254
H 0.000 0.000 0.000
```

Computed properties:
As for the size of the total moment: 0.000 μB per formula unit. The total energy is -9.641 eV per atom. Its space-group type is P4/mmm (123).